[1]
Material: Dy8Ga3CS3
Method: DFT, PBE
State: optimized geometry

abc: 7.651 7.657 8.435
angles: 117.03 90.00 119.98
Sites, in units of the cell vectors:
Dy  0.257  0.513  0.270
Dy  0.743  0.487  0.730
Dy  0.779  0.559  0.291
Dy  0.221  0.441  0.709
Dy  0.779  0.012  0.291
Dy  0.221  0.988  0.709
Dy  0.233  0.012  0.291
Dy  0.767  0.988  0.709
Ga  0.000  0.000  0.000
Ga  0.000  0.500  0.000
Ga  0.500  0.500  0.000
C  0.000  0.000  0.500
S  0.500  0.000  0.500
S  0.500  0.500  0.500
S  0.000  0.500  0.500

As for the symmetry: C2/m. The uncorrected formation energy comes out at -1053 meV per atom. For the density of states at the Fermi level, the calculation gives 0.472 states/eV per atom.


[2]
Material: Dy4GaSbC
Method: DFT, PBE
State: optimized geometry

abc: 6.737 6.736 8.474
angles: 90.00 113.43 90.00
Sites, in units of the cell vectors:
Dy  0.917  0.250  0.834
Dy  0.408  0.750  0.816
Dy  0.083  0.750  0.166
Dy  0.592  0.250  0.184
Dy  0.500  0.500  0.500
Dy  0.000  0.000  0.500
Dy  0.500  0.000  0.500
Dy  0.000  0.500  0.500
Ga  0.116  0.250  0.232
Ga  0.884  0.750  0.768
Sb  0.608  0.750  0.217
Sb  0.392  0.250  0.783
C  0.249  0.750  0.499
C  0.751  0.250  0.501

As for the symmetry: Cmcm. The uncorrected formation energy comes out at -633 meV per atom. For the density of states at the Fermi level, the calculation gives 0.198 states/eV per atom.


[3]
Material: Dy2ScGaC
Method: DFT, PBE
State: optimized geometry

abc: 4.500 4.868 4.868
angles: 90.00 90.00 90.00
Sites, in units of the cell vectors:
Dy  0.000  0.000  0.500
Dy  0.000  0.500  0.000
Sc  0.500  0.000  0.000
Ga  0.500  0.500  0.500
C  0.000  0.000  0.000

As for the symmetry: P4/mmm. The value obtained for the energy of formation is -0.515 eV per atom. For the density of states at the Fermi level, the calculation gives 0.211 states/eV per atom.


[4]
Material: DyGaTc2C
Method: DFT, PBE
State: optimized geometry

abc: 3.859 5.788 7.667
angles: 90.00 90.00 109.47
Sites, in units of the cell vectors:
Dy  0.463  0.925  0.750
Dy  0.537  0.075  0.250
Ga  0.740  0.479  0.750
Ga  0.260  0.521  0.250
Tc  0.172  0.344  0.944
Tc  0.828  0.656  0.056
Tc  0.172  0.344  0.556
Tc  0.828  0.656  0.444
C  0.000  0.000  0.000
C  0.000  0.000  0.500

As for the symmetry: Cmcm. The value obtained for the energy of formation is -0.317 eV per atom. For the density of states at the Fermi level, the calculation gives 0.548 states/eV per atom.


[5]
Material: Dy2Ga2Tc2C
Method: DFT, PBE
State: optimized geometry

abc: 3.684 5.865 7.350
angles: 57.65 90.01 71.72
Sites, in units of the cell vectors:
Dy  0.430  0.142  0.714
Dy  0.570  0.858  0.286
Ga  0.865  0.270  0.339
Ga  0.135  0.730  0.661
Tc  0.803  0.393  0.932
Tc  0.197  0.607  0.068
C  0.000  0.000  0.000

As for the symmetry: C2/m. The value obtained for the energy of formation is -0.516 eV per atom. For the density of states at the Fermi level, the calculation gives 0.330 states/eV per atom.


[6]
Material: DyGa2Tc2C
Method: DFT, PBE
State: optimized geometry

abc: 4.155 4.155 5.506
angles: 90.00 90.00 90.00
Sites, in units of the cell vectors:
Dy  0.000  0.000  0.500
Ga  0.500  0.500  0.720
Ga  0.500  0.500  0.280
Tc  0.500  0.000  0.000
Tc  0.000  0.500  0.000
C  0.000  0.000  0.000

As for the symmetry: P4/mmm. The value obtained for the energy of formation is -0.376 eV per atom. For the density of states at the Fermi level, the calculation gives 0.586 states/eV per atom.


[7]
Material: Dy4TlGaC
Method: DFT, PBE
State: optimized geometry

abc: 6.957 6.964 8.122
angles: 90.00 115.36 90.00
Sites, in units of the cell vectors:
Dy  0.921  0.250  0.842
Dy  0.413  0.750  0.826
Dy  0.079  0.750  0.158
Dy  0.587  0.250  0.174
Dy  0.500  0.500  0.500
Dy  0.000  0.000  0.500
Dy  0.500  0.000  0.500
Dy  0.000  0.500  0.500
Tl  0.618  0.750  0.237
Tl  0.382  0.250  0.763
Ga  0.126  0.250  0.252
Ga  0.874  0.750  0.748
C  0.248  0.750  0.495
C  0.752  0.250  0.505

As for the symmetry: Cmcm. The value obtained for the energy of formation is -0.373 eV per atom. For the density of states at the Fermi level, the calculation gives 0.139 states/eV per atom.


[8]
Material: Dy2TmGaC
Method: DFT, PBE
State: optimized geometry

abc: 4.774 4.862 4.862
angles: 90.00 90.00 90.00
Sites, in units of the cell vectors:
Dy  0.000  0.000  0.500
Dy  0.000  0.500  0.000
Tm  0.500  0.000  0.000
Ga  0.500  0.500  0.500
C  0.000  0.000  0.000

As for the symmetry: P4/mmm. The value obtained for the energy of formation is -0.469 eV per atom. For the density of states at the Fermi level, the calculation gives 0.320 states/eV per atom.


[9]
Material: DyTm2GaC
Method: DFT, PBE
State: optimized geometry

abc: 4.859 4.776 4.776
angles: 90.00 90.00 90.00
Sites, in units of the cell vectors:
Dy  0.500  0.000  0.000
Tm  0.000  0.000  0.500
Tm  0.000  0.500  0.000
Ga  0.500  0.500  0.500
C  0.000  0.000  0.000

As for the symmetry: P4/mmm. The value obtained for the energy of formation is -0.491 eV per atom. For the density of states at the Fermi level, the calculation gives 0.243 states/eV per atom.


[10]
Material: DyY2GaC
Method: DFT, PBE
State: optimized geometry

abc: 4.868 4.868 4.868
angles: 90.00 90.00 90.00
Sites, in units of the cell vectors:
Dy  0.500  0.000  0.000
Y  0.000  0.000  0.500
Y  0.000  0.500  0.000
Ga  0.500  0.500  0.500
C  0.000  0.000  0.000

As for the symmetry: P4/mmm. The value obtained for the energy of formation is -0.471 eV per atom. For the density of states at the Fermi level, the calculation gives 0.401 states/eV per atom.


[11]
Material: Gd2Dy4C
Method: DFT, PBE
State: optimized geometry

abc: 4.876 4.876 9.479
angles: 75.10 75.10 90.00
Site moments in Bohr magnetons follow the coordinates.
Sites, in units of the cell vectors:
C  0.000  0.000  0.000  0.02
Gd  0.327  0.327  0.346  7.25
Gd  0.673  0.673  0.654  7.25
Dy  0.134  0.134  0.732  0.22
Dy  0.866  0.866  0.268  0.22
Dy  0.000  0.500  0.000  0.12
Dy  0.500  0.000  0.000  0.12

As for the symmetry: I4/mmm. The value obtained for the energy of formation is 0.129 eV per atom. For the density of states at the Fermi level, the calculation gives 1.971 states/eV per atom.


[12]
Material: GdDyC
Method: DFT, PBE
State: optimized geometry

abc: 3.596 3.596 6.301
angles: 90.00 90.00 120.00
Site moments in Bohr magnetons follow the coordinates.
Sites, in units of the cell vectors:
C  0.667  0.333  0.337  -0.06
Gd  0.000  0.000  0.116  7.15
Dy  0.333  0.667  0.547  0.17

As for the symmetry: P3m1. The value obtained for the energy of formation is -0.240 eV per atom. For the density of states at the Fermi level, the calculation gives 0.919 states/eV per atom.


Total magnetic moment values (in μB/cell) by entry order: 0.0, 0.0, 0.0, 0.0, 0.0, 0.0, 0.0, 0.0, 0.0, 0.0, 16.1, 7.6.